[1]
First-principles (PBE-GGA) data for Nd4MgBi2 after structural relaxation, as listed in Alexandria via LeMat-Bulk.

Properties
Formation energy   -9.08 kcal/mol of atoms

Unit cell a=6.379 b=6.853 c=10.655 alpha=90.00 beta=104.32 gamma=90.00
Element x y z (fractional)
Nd  0.028  0.016  0.259
Nd  0.028  0.484  0.259
Nd  0.349  0.750  0.526
Nd  0.429  0.750  0.145
Nd  0.571  0.250  0.855
Nd  0.651  0.250  0.474
Nd  0.972  0.516  0.741
Nd  0.972  0.984  0.741
Mg  0.449  0.750  0.823
Mg  0.551  0.250  0.177
Bi  0.135  0.250  0.003
Bi  0.206  0.250  0.554
Bi  0.794  0.750  0.446
Bi  0.865  0.750  0.997

---

[2]
First-principles (PBE-GGA) data for Mn2ZnFe2 after structural relaxation, as listed in Alexandria via LeMat-Bulk.

Properties
Energy relative to the lowest polymorph listed for this composition   0.000 eV/atom
Formation energy   4.62 kcal/mol of atoms

Unit cell a=6.792 b=6.792 c=2.500 alpha=90.00 beta=90.00 gamma=90.00
Element x y z (fractional)
Mn  0.166  0.334  0.000
Mn  0.334  0.834  0.000
Mn  0.666  0.166  0.000
Mn  0.834  0.666  0.000
Zn  0.000  0.000  0.500
Zn  0.500  0.500  0.500
Fe  0.124  0.624  0.500
Fe  0.376  0.124  0.500
Fe  0.624  0.876  0.500
Fe  0.876  0.376  0.500

---

[3]
First-principles (PBE-GGA) data for KNa2BiI6 after structural relaxation, as listed in Alexandria via LeMat-Bulk.

Properties
E   -2.66 eV/atom

Unit cell a=8.860 b=8.860 c=8.860 alpha=55.36 beta=55.36 gamma=55.36
Element x y z (fractional)
K  0.000  0.000  0.000
Na  0.293  0.293  0.293
Na  0.809  0.809  0.809
Bi  0.483  0.483  0.483
I  0.084  0.667  0.439
I  0.227  0.568  0.877
I  0.439  0.084  0.667
I  0.568  0.877  0.227
I  0.667  0.439  0.084
I  0.877  0.227  0.568

---

[4]
First-principles (PBE-GGA) data for ZnFe2Br after structural relaxation, as listed in Alexandria via LeMat-Bulk.

Properties
Energy relative to the lowest polymorph listed for this composition   0.386 eV/atom

Unit cell a=5.524 b=7.726 c=2.949 alpha=90.00 beta=90.00 gamma=90.00
Element x y z (fractional)
Zn  0.000  0.000  0.000
Zn  0.500  0.500  0.000
Fe  0.250  0.250  0.500
Fe  0.250  0.750  0.500
Fe  0.750  0.250  0.500
Fe  0.750  0.750  0.500
Br  0.000  0.500  0.000
Br  0.500  0.000  0.000

---

[5]
First-principles (PBE-GGA) data for PuHfU after structural relaxation, as listed in Alexandria via LeMat-Bulk.

Properties
Energy relative to the lowest polymorph listed for this composition   0.177 eV/atom
Formation energy   7.33 kcal/mol of atoms

Unit cell a=7.934 b=7.934 c=6.280 alpha=90.00 beta=90.00 gamma=138.17
Element x y z (fractional)
Pu  0.176  0.324  0.250
Pu  0.324  0.176  0.750
Pu  0.676  0.824  0.250
Pu  0.824  0.676  0.750
Hf  0.235  0.765  0.403
Hf  0.265  0.735  0.903
Hf  0.735  0.265  0.097
Hf  0.765  0.235  0.597
U  0.081  0.919  0.164
U  0.419  0.581  0.664
U  0.581  0.419  0.336
U  0.919  0.081  0.836

---

[6]
First-principles (PBE-GGA) data for CoCu2H3 after structural relaxation, as listed in Alexandria via LeMat-Bulk.

Properties
Energy relative to the lowest polymorph listed for this composition   0.070 eV/atom

Unit cell a=6.124 b=6.119 c=2.668 alpha=77.52 beta=77.30 gamma=25.18
Element x y z (fractional)
Co  0.000  0.000  0.000
Cu  0.335  0.335  0.665
Cu  0.665  0.665  0.335
H  0.144  0.144  0.856
H  0.500  0.500  0.500
H  0.856  0.856  0.144

---

It is found that the size of the total moment values, taken in the order of the records, are 0.0, 0.0, 0.0, 11.9, 16.6, 0.0 μB per cell.